The following is a DFT calculation (meta-GGA SCAN) of a PBEsol-optimized structure of YMnPt2.

Calculated values
The calculated volume comes out at 17.01 A^3/atom. As for the total DFT energy (no corrections): -47.605 eV/atom. The symmetry is I-4m2, No. 119. The calculated formation energy comes out at -983.6 meV per atom. The value obtained for the magnetization is 4.42 μB/cell.

Cell: 3.9589 3.9589 5.1655 Å, 112.53 112.53 90.00°
Closest atoms and distances in Å follow each position.
Fractional positions:
Mn 0.2500 0.7500 0.5000  8 Pt 2.80-2.94, 4 Y 2.94
Pt 0.0000 0.0000 0.0000  4 Y 2.80, 4 Mn 2.94, 4 Pt 2.94
Pt 0.7500 0.2500 0.5000  4 Mn 2.80, 4 Pt 2.94, 4 Y 2.94
Y 0.5000 0.5000 0.0000  8 Pt 2.80-2.94, 4 Mn 2.94



The following is a DFT calculation (meta-GGA SCAN) of a PBEsol-optimized structure of YMn2Pt.

Calculated values
The calculated volume comes out at 16.43 A^3/atom. As for the total DFT energy (no corrections): -34.176 eV/atom. The symmetry is P4mm, No. 99. The calculated formation energy comes out at -539.7 meV per atom. The value obtained for the magnetization is 0.87 μB/cell.

Cell: 3.1367 3.1367 6.6807 Å, 90.00 90.00 90.00°
Closest atoms and distances in Å follow each position.
Fractional positions:
Y 0.5000 0.5000 0.7500  4 Pt 2.96, 5 Mn 3.03-3.23, 4 Y 3.14
Pt 0.0000 0.0000 0.4577  5 Mn 2.66-2.68, 4 Y 2.96
Mn 0.0000 0.0000 0.0594  4 Mn 2.50, 1 Pt 2.66
Mn 0.5000 0.5000 0.2329  4 Mn 2.50, 4 Pt 2.68



The following is a DFT calculation (meta-GGA SCAN) of a PBEsol-optimized structure of YMnPt.

Calculated values
The calculated volume comes out at 19.39 A^3/atom. As for the total DFT energy (no corrections): -39.586 eV/atom. The symmetry is P-6m2, No. 187. The calculated formation energy comes out at -822.3 meV per atom. The value obtained for the magnetization is 2.75 μB/cell.

Cell: 3.9354 4.1310 4.1310 Å, 120.00 90.00 90.00°
Closest atoms and distances in Å follow each position.
Fractional positions:
Y 0.5000 0.6667 0.3333  6 Mn 3.09, 6 Pt 3.09
Mn 0.0000 0.0000 0.0000  3 Pt 2.39
Pt 0.0000 0.3333 0.6667  3 Mn 2.39



The following is a DFT calculation (meta-GGA SCAN) of a PBEsol-optimized structure of MnZnPt.

Calculated values
The calculated volume comes out at 13.91 A^3/atom. As for the total DFT energy (no corrections): -34.613 eV/atom. The symmetry is Imm2, No. 44. The calculated formation energy comes out at -625.0 meV per atom. The value obtained for the magnetization is 4.15 μB/cell.

Cell: 2.8090 3.6806 4.6518 Å, 113.30 107.57 90.00°
Closest atoms and distances in Å follow each position.
Fractional positions:
Zn 0.3328 0.3328 0.6656  5 Pt 2.68-2.69, 5 Mn 2.68, 2 Zn 2.81
Mn 0.0006 0.0006 0.0013  5 Pt 2.67-2.70, 5 Zn 2.68, 2 Mn 2.81
Pt 0.6666 0.6666 0.3331  5 Mn 2.67-2.70, 5 Zn 2.68-2.69, 2 Pt 2.81



The following is a DFT calculation (meta-GGA SCAN) of a PBEsol-optimized structure of MnZnPt.

Calculated values
The calculated volume comes out at 17.17 A^3/atom. As for the total DFT energy (no corrections): -34.439 eV/atom. The symmetry is F-43m, No. 216. The calculated formation energy comes out at -451.2 meV per atom. The value obtained for the magnetization is 4.47 μB/cell.

Cell: 4.1765 4.1765 4.1765 Å, 60.00 60.00 60.00°
Closest atoms and distances in Å follow each position.
Fractional positions:
Zn 0.0000 0.0000 0.0000  4 Pt 2.56
Mn 0.5000 0.5000 0.5000  4 Pt 2.56
Pt 0.2500 0.2500 0.2500  4 Mn 2.56, 4 Zn 2.56



The following is a DFT calculation (meta-GGA SCAN) of a PBEsol-optimized structure of MnZnPt.

Calculated values
The calculated volume comes out at 14.08 A^3/atom. As for the total DFT energy (no corrections): -34.577 eV/atom. The symmetry is I4mm, No. 107. The calculated formation energy comes out at -589.5 meV per atom. The value obtained for the magnetization is 4.16 μB/cell.

Cell: 3.2184 3.2184 4.6706 Å, 110.15 110.15 90.00°
Closest atoms and distances in Å follow each position.
Fractional positions:
Mn 0.0012 0.0012 0.0024  5 Pt 2.64-2.74, 5 Zn 2.66-2.71
Pt 0.6659 0.6659 0.3318  5 Mn 2.64-2.74, 5 Zn 2.65-2.72
Zn 0.3329 0.3329 0.6658  5 Pt 2.65-2.72, 5 Mn 2.66-2.71



The following is a DFT calculation (meta-GGA SCAN) of a PBEsol-optimized structure of ZrMn2Pt.

Calculated values
The calculated volume comes out at 15.34 A^3/atom. As for the total DFT energy (no corrections): -34.956 eV/atom. The symmetry is I4/mmm, No. 139. The calculated formation energy comes out at -605.9 meV per atom. The value obtained for the magnetization is 6.78 μB/cell.

Cell: 3.9154 3.9154 4.8677 Å, 113.71 113.71 90.00°
Closest atoms and distances in Å follow each position.
Fractional positions:
Mn 0.2500 0.7500 0.5000  4 Mn 2.77, 4 Zr 2.80, 4 Pt 2.80
Mn 0.7500 0.2500 0.5000  4 Mn 2.77, 4 Zr 2.80, 4 Pt 2.80
Zr 0.5000 0.5000 0.0000  4 Pt 2.77, 8 Mn 2.80
Pt 0.0000 0.0000 0.0000  4 Zr 2.77, 8 Mn 2.80



The following is a DFT calculation (meta-GGA SCAN) of a PBEsol-optimized structure of ZrMn2Pt.

Calculated values
The calculated volume comes out at 15.05 A^3/atom. As for the total DFT energy (no corrections): -34.729 eV/atom. The symmetry is C2/m, No. 12. The calculated formation energy comes out at -378.1 meV per atom. The value obtained for the magnetization is 6.26 μB/cell.

Cell: 2.7998 5.0510 5.0838 Å, 117.41 102.10 97.61°
Closest atoms and distances in Å follow each position.
Fractional positions:
Pt 0.5000 0.0000 0.0000  4 Mn 2.63, 2 Zr 2.72, 2 Pt 2.80
Mn 0.0000 0.0000 0.5000  2 Pt 2.63, 2 Zr 2.63, 4 Mn 2.72-2.80
Mn 0.5000 0.5000 0.5000  2 Zr 2.63, 2 Pt 2.63, 4 Mn 2.72-2.80
Zr 0.0000 0.5000 0.0000  4 Mn 2.63, 2 Pt 2.72, 2 Zr 2.80



The following is a DFT calculation (meta-GGA SCAN) of a PBEsol-optimized structure of RbMnRe2.

Calculated values
The calculated volume comes out at 15.70 A^3/atom. As for the total DFT energy (no corrections): -43.169 eV/atom. The symmetry is Fm-3m, No. 225. The calculated formation energy comes out at 2128.8 meV per atom. The value obtained for the magnetization is 1.11 μB/cell.

Cell: 4.4617 4.4617 4.4617 Å, 60.00 60.00 60.00°
Closest atoms and distances in Å follow each position.
Fractional positions:
Re 0.2500 0.2500 0.2500  4 Mn 2.73, 4 Rb 2.73
Re 0.7500 0.7500 0.7500  4 Mn 2.73, 4 Rb 2.73
Rb 0.5000 0.5000 0.5000  8 Re 2.73
Mn 0.0000 0.0000 0.0000  8 Re 2.73



The following is a DFT calculation (meta-GGA SCAN) of a PBEsol-optimized structure of RbMnReTc2.

Calculated values
The calculated volume comes out at 23.97 A^3/atom. As for the total DFT energy (no corrections): -34.105 eV/atom. The symmetry is P4/mmm, No. 123. The calculated formation energy comes out at 1937.8 meV per atom. The value obtained for the magnetization is 3.29 μB/cell.

Cell: 4.6809 4.6809 5.4704 Å, 90.00 90.00 90.00°
Closest atoms and distances in Å follow each position.
Fractional positions:
Re 0.0000 0.0000 0.0000  4 Tc 2.34
Rb 0.0000 0.0000 0.5000  2 Re 2.74
Mn 0.5000 0.5000 0.5000  4 Rb 3.31, 8 Tc 3.60
Tc 0.0000 0.5000 0.0000  2 Re 2.34
Tc 0.5000 0.0000 0.0000  2 Re 2.34



The following is a DFT calculation (meta-GGA SCAN) of a PBEsol-optimized structure of Rb2MnTe2S6.

Calculated values
The calculated volume comes out at 27.38 A^3/atom. As for the total DFT energy (no corrections): -18.136 eV/atom. The symmetry is P-3c1, No. 165. The calculation puts the uncorrected formation energy at -681 meV per atom. The value obtained for the magnetization is 10.00 μB/cell.

Cell: 6.7408 6.7408 15.3084 Å, 90.00 90.00 120.00°
Closest atoms and distances in Å follow each position.
Fractional positions:
S 0.2740 0.3291 0.5975  1 Te 2.42, 1 Mn 2.54
S 0.6709 0.7260 0.0975  1 Te 2.42, 1 Mn 2.54
S 0.9448 0.2740 0.4025  1 Te 2.42, 1 Mn 2.54
S 0.9448 0.6709 0.9025  1 Te 2.42, 1 Mn 2.54
S 0.7260 0.6709 0.4025  1 Te 2.42, 1 Mn 2.54
S 0.6709 0.9448 0.5975  1 Te 2.42, 1 Mn 2.54
S 0.0552 0.7260 0.5975  1 Te 2.42, 1 Mn 2.54
S 0.7260 0.0552 0.9025  1 Te 2.42, 1 Mn 2.54
S 0.3291 0.0552 0.4025  1 Te 2.42, 1 Mn 2.54
S 0.3291 0.2740 0.9025  1 Te 2.42, 1 Mn 2.54
S 0.2740 0.9448 0.0975  1 Te 2.42, 1 Mn 2.54
S 0.0552 0.3291 0.0975  1 Te 2.42, 1 Mn 2.54
Te 0.6667 0.3333 0.4808  3 S 2.42
Te 0.3333 0.6667 0.0192  3 S 2.42
Te 0.6667 0.3333 0.9808  3 S 2.42
Te 0.3333 0.6667 0.5192  3 S 2.42
Rb 0.6667 0.3333 0.7278  6 S 3.30-3.40
Rb 0.3333 0.6667 0.2722  6 S 3.30-3.40
Rb 0.6667 0.3333 0.2278  6 S 3.30-3.40
Rb 0.3333 0.6667 0.7722  6 S 3.30-3.40
Mn 0.0000 0.0000 0.0000  6 S 2.54
Mn 0.0000 0.0000 0.5000  6 S 2.54



The following is a DFT calculation (meta-GGA SCAN) of a PBEsol-optimized structure of RbMnSb.

Calculated values
The calculated volume comes out at 30.32 A^3/atom. As for the total DFT energy (no corrections): -25.847 eV/atom. The symmetry is P4/nmm, No. 129. The calculation puts the uncorrected formation energy at -429 meV per atom. The value obtained for the magnetization is 9.45 μB/cell.

Cell: 4.6411 4.6411 8.4450 Å, 90.00 90.00 90.00°
Closest atoms and distances in Å follow each position.
Fractional positions:
Rb 0.0000 0.5000 0.3458  4 Sb 3.60, 4 Mn 3.73
Rb 0.5000 0.0000 0.6542  4 Sb 3.60, 4 Mn 3.73
Sb 0.5000 0.0000 0.1695  4 Mn 2.73
Sb 0.0000 0.5000 0.8305  4 Mn 2.73
Mn 0.5000 0.5000 0.0000  4 Sb 2.73
Mn 0.0000 0.0000 0.0000  4 Sb 2.73



- What is the magnetization in the twelfth record?
  9.45 μB/cell



- The lowest magnetization belongs to which entry?
  YMn2Pt